Record 1
Crystalline Be2RuSe at its relaxed geometry, computed with PBE.

abc: 6.8851 6.8851 6.8851
angles: 25.08 25.08 25.08
Last column: nearest neighbours and their distance in Å.
Fractional coordinates of all 4 atoms:
Be  0.2479  0.2479  0.2479  3 Ru 2.37, 3 Se 2.43
Be  0.7521  0.7521  0.7521  3 Ru 2.37, 3 Se 2.43
Ru  0.5000  0.5000  0.5000  6 Be 2.37
Se  0.0000  0.0000  0.0000  6 Be 2.43

Computed properties:
- Crystal system: trigonal
- SG: R-3m (166)
- DOS at the Fermi energy: 1.5 states/eV per cell
- Formation energy (no corrections): 0.22 eV per atom



Record 2
Crystalline Be2RuSe at its relaxed geometry, computed with PBE.

abc: 3.0907 3.0907 5.0189
angles: 90.00 90.00 90.00
Last column: nearest neighbours and their distance in Å.
Fractional coordinates of all 4 atoms:
Be  0.0000  0.0000  0.2199  1 Be 2.21, 4 Ru 2.45
Be  0.0000  0.0000  0.7801  1 Be 2.21, 4 Ru 2.45
Ru  0.5000  0.5000  0.0000  8 Be 2.45, 2 Se 2.51
Se  0.5000  0.5000  0.5000  2 Ru 2.51, 8 Be 2.60

Computed properties:
- Crystal system: tetragonal
- SG: P4/mmm (123)
- DOS at the Fermi energy: 1.5 states/eV per cell
- Formation energy (no corrections): -0.05 eV per atom



Record 3
Crystalline Be2RuSe at its relaxed geometry, computed with PBE.

abc: 4.7461 4.7461 3.0113
angles: 107.79 107.79 113.80
Last column: nearest neighbours and their distance in Å.
Fractional coordinates of all 4 atoms:
Be  0.0000  0.5000  0.0000  2 Se 2.37, 2 Ru 2.37, 4 Be 2.59-2.66
Be  0.5000  0.0000  0.0000  2 Se 2.37, 2 Ru 2.37, 4 Be 2.59-2.66
Ru  0.0000  0.0000  0.0000  4 Be 2.37, 4 Se 2.59-2.66
Se  0.5000  0.5000  0.0000  4 Be 2.37, 4 Ru 2.59-2.66

Computed properties:
- Crystal system: monoclinic
- SG: C2/m (12)
- DOS at the Fermi energy: 2.2 states/eV per cell
- Formation energy (no corrections): 0.29 eV per atom